# 1
ReTcAg2 PBEsol optimized geometry; energy relative to the elements = 71.5 kJ per mole of atoms; density of states at the Fermi level = 1.104 states/eV/atom; total magnetic moment = 0.000 μB per formula unit; energy relative to the lowest polymorph listed for this composition = 195.0 meV per atom; DFT total energy = -28.3 eV/f.u.
1.0
4.425 0.000 0.000
2.213 3.833 0.000
2.213 1.278 3.613
Re Tc Ag
1 1 2
Cartesian
4.425 2.555 1.807
2.213 1.278 0.903
6.638 3.833 2.710
0.000 0.000 0.000

---

# 2
ReTcAg2 PBEsol optimized geometry; energy relative to the elements = 52.6 kJ per mole of atoms; density of states at the Fermi level = 0.736 states/eV/atom; total magnetic moment = 0.000 μB per formula unit; energy relative to the lowest polymorph listed for this composition = 0.0 meV per atom; DFT total energy = -29.0 eV/f.u.
1.0
2.709 0.000 0.000
0.000 4.692 0.000
-1.355 -0.781 4.771
Tc Ag Re
1 2 1
Cartesian
0.000 2.346 0.000
0.000 0.782 2.384
1.355 3.129 2.388
1.355 0.000 0.000

---

# 3
ReTcAg2 PBEsol optimized geometry; energy relative to the elements = 60.9 kJ per mole of atoms; density of states at the Fermi level = 0.749 states/eV/atom; total magnetic moment = 0.000 μB per formula unit; energy relative to the lowest polymorph listed for this composition = 85.6 meV per atom; DFT total energy = -28.7 eV/f.u.
1.0
3.957 0.000 0.000
0.000 3.957 0.000
-1.978 -1.978 3.836
Tc Re Ag
1 1 2
Cartesian
0.000 1.978 1.918
1.978 1.978 0.000
1.978 0.000 1.918
0.000 0.000 0.000

---

# 4
ReAgTe3 PBEsol optimized geometry; density of states at the Fermi level = 1.065 states/eV/atom; total magnetic moment = 4.014 μB per formula unit; ΔE_f (raw) = 8.4 eV per formula unit; DFT total energy = -18.8 eV/f.u.
1.0
5.250 0.000 0.000
0.000 5.250 0.000
0.000 0.000 5.250
Te Ag Re
3 1 1
Cartesian
0.000 2.625 0.000
0.000 0.000 2.625
2.625 0.000 0.000
0.000 0.000 0.000
2.625 2.625 2.625

---

# 5
ReAgTe PBEsol optimized geometry; density of states at the Fermi level = 1.090 states/eV/atom; total magnetic moment = 0.001 μB per formula unit; ΔE_f (raw) = 2.0 eV per formula unit; DFT total energy = -18.2 eV/f.u.
1.0
-2.566 -0.180 1.777
0.360 -1.936 -2.428
3.098 -4.467 4.021
Te Re Ag
1 1 1
Cartesian
-0.443 -2.420 1.865
1.407 -4.267 1.599
3.026 -4.363 3.928

---

# 6
Re2AgTe PBEsol optimized geometry; density of states at the Fermi level = 0.855 states/eV/atom; total magnetic moment = 0.000 μB per formula unit; ΔE_f (raw) = 3.3 eV per formula unit; DFT total energy = -30.2 eV/f.u.
1.0
-0.485 -2.864 0.518
2.806 -1.120 -3.564
2.911 1.889 4.762
Re Te Ag
2 1 1
Cartesian
0.347 -0.009 0.276
1.669 -1.480 1.780
3.784 -0.096 3.010
3.505 -0.614 -0.110

---

# 7
ReAg2Te PBEsol optimized geometry; density of states at the Fermi level = 0.709 states/eV/atom; total magnetic moment = 0.000 μB per formula unit; ΔE_f (raw) = 3.1 eV per formula unit; DFT total energy = -20.3 eV/f.u.
1.0
2.774 0.000 0.000
0.000 4.528 0.000
0.000 0.000 5.766
Ag Re Te
2 1 1
Cartesian
0.000 0.000 4.451
0.000 0.000 1.314
1.387 2.264 0.000
1.387 2.264 2.883

---

# 8
ReAg2Te PBEsol optimized geometry; density of states at the Fermi level = 0.780 states/eV/atom; total magnetic moment = 0.002 μB per formula unit; ΔE_f (raw) = 2.8 eV per formula unit; DFT total energy = -20.7 eV/f.u.
1.0
3.107 0.000 0.000
0.000 4.516 -0.203
-1.553 -2.021 5.103
Ag Te Re
2 1 1
Cartesian
1.553 2.380 2.456
0.000 0.116 2.444
0.000 2.258 -0.101
1.553 0.000 0.000